Entry 1:
Here is a crystal of Ag2OsBr relaxed with PBEsol from the Alexandria database. Energies are from meta-GGA SCAN.

POSCAR file:
```
Ag2OsBr
1.0
-1.2019 -3.6211 0.9873
1.4958 0.4887 3.6133
-3.7983 1.6294 1.3520
Os Br Ag
1 1 2
direct
0.0000 0.0000 0.5000 Os
0.5000 0.5000 0.5000 Br
0.0000 0.5000 0.0000 Ag
0.5000 0.0000 0.0000 Ag
```

Computed properties:
E_form (uncorrected), meV per atom: 1227.3
Relative energy among the computed polymorphs, meV per atom: 477
Symmetry: P4/mmm (123)

Entry 2:
Here is a crystal of TaTcIr2 relaxed with PBEsol from the Alexandria database. Energies are from meta-GGA SCAN.

POSCAR file:
```
TaTcIr2
1.0
4.3971 0.0000 0.0000
2.1986 3.8080 0.0000
2.1986 1.2693 3.5902
Ir Ta Tc
2 1 1
direct
0.0000 0.0000 0.0000 Ir
0.7500 0.7500 0.7500 Ir
0.5000 0.5000 0.5000 Ta
0.2500 0.2500 0.2500 Tc
```

Computed properties:
Relative energy among the computed polymorphs, meV per atom: 583
Energy relative to the elements, eV per atom: -0.061
Symmetry: F-43m (216)